Density functional theory data (PBE-GGA) for a relaxed Na2PrInPb2 crystal. Values from VASP.

Summary:
Its density of states at the Fermi level is 1.78 states/eV/cell. Its total energy is -38.8 eV/cell. For the volume, the calculation gives 30.41 Å³/atom.

```
&SYSTEM
  ibrav = 0, nat = 12, ntyp = 4
/
ATOMIC_SPECIES
Pr 140.91 Pr.upf
Pb 207.20 Pb.upf
In 114.82 In.upf
Na 22.99 Na.upf
CELL_PARAMETERS angstrom
4.767 0.000 0.000
0.000 7.929 0.000
0.000 0.000 9.652
ATOMIC_POSITIONS crystal
Pr 0.000 0.475 0.552
Pr 0.000 0.975 0.448
Pb 0.500 0.758 0.628
Pb 0.000 0.263 0.846
Pb 0.500 0.258 0.372
Pb 0.000 0.763 0.154
In 0.500 0.151 0.677
In 0.500 0.651 0.323
Na 0.500 0.544 0.929
Na 0.000 0.855 0.830
Na 0.500 0.044 0.071
Na 0.000 0.355 0.170
```